BaAs4: relaxed, PBE-GGA.

Output
E_tot = -21.63 eV for the cell shown
energy above the lowest structure with this stoichiometry = 0 meV/atom
mass density = 5.454 Mg/m³
energy relative to the elements = -0.221 eV/atom
space group = No. 87

abc: 5.8068 5.8068 5.8068
angles: 99.55 99.55 131.92
Closest atoms and distances in Å follow each position.
Element x y z (fractional)
1 As 0.1477 0.5698 0.7175  1 As 2.45
2 As 0.8523 0.4302 0.2825  1 As 2.45
3 As 0.5698 0.8523 0.4222  1 As 2.45
4 As 0.4302 0.1477 0.5778  1 As 2.45
5 Ba 0.0000 0.0000 0.0000  12 As 3.41-3.58